(1)
Below is crystalline HfGaRh4 at its relaxed geometry, with properties calculated at the PBE-GGA level.

Cell lengths 4.1560, 4.1587, 6.0538 Å; angles 89.97, 89.98, 90.00 degrees
Closest atoms and distances in Å follow each position.
Positions (direct):
Ga  0.0014  0.9971  0.4982  8 Rh 2.53
Rh  0.0013  0.4971  0.7359  2 Ga 2.53, 2 Hf 2.61
Rh  0.5014  0.9972  0.2601  2 Ga 2.53, 2 Hf 2.61-2.62
Hf  0.5012  0.4974  0.9981  8 Rh 2.61-2.62
Rh  0.0012  0.4973  0.2604  2 Ga 2.53, 2 Hf 2.61-2.62
Rh  0.5013  0.9976  0.7361  2 Ga 2.53, 2 Hf 2.62

Output
The calculation puts the electronic total energy at -43.942 eV per cell. Its space group is P4/mmm (123). The magnetic moment comes out at 0.0 μB/f.u. For the density, the calculation gives 10.47 g/cm³.

***

(2)
Below is crystalline PrErMg2Cd4 at its relaxed geometry, with properties calculated at the PBE-GGA level.

Cell lengths 5.1296, 5.1296, 8.9456 Å; angles 73.34, 73.34, 60.00 degrees
Closest atoms and distances in Å follow each position.
Positions (direct):
Mg  0.2494  0.2494  0.2517  8 Cd 3.08-3.27
Cd  0.3786  0.3786  0.8642  1 Er 3.07, 4 Mg 3.12-3.27, 3 Pr 3.18
Er  0.5000  0.5000  0.5000  8 Cd 3.07-3.12
Mg  0.7506  0.7506  0.7483  8 Cd 3.08-3.27
Pr  0.0000  0.0000  0.0000  8 Cd 3.18-3.24
Cd  0.6214  0.6214  0.1358  1 Er 3.07, 4 Mg 3.12-3.27, 3 Pr 3.18
Cd  0.8722  0.8722  0.3834  4 Mg 3.08-3.16, 3 Er 3.12, 1 Pr 3.24
Cd  0.1278  0.1278  0.6166  4 Mg 3.08-3.16, 3 Er 3.12, 1 Pr 3.24

Output
The calculation puts the electronic total energy at -18.691 eV per cell. Its space group is R-3m (166). The magnetic moment comes out at 0.0 μB/f.u. For the density, the calculation gives 6.96 g/cm³.

***

(3)
Below is crystalline Li3Mg2IO6 at its relaxed geometry, with properties calculated at the PBE-GGA level.

Cell lengths 5.3508, 5.3508, 5.2834 Å; angles 99.63, 99.63, 120.04 degrees
Closest atoms and distances in Å follow each position.
Positions (direct):
O  0.4099  0.0770  0.2336  1 I 2.13, 2 Mg 2.13, 3 Li 2.19-2.23
O  0.5901  0.9230  0.7664  1 I 2.13, 2 Mg 2.13, 3 Li 2.19-2.23
Mg  0.3336  0.6664  0.0000  6 O 2.12-2.13
I  0.0000  0.0000  0.0000  6 O 2.12-2.13
O  0.2558  0.2558  0.7681  1 I 2.12, 2 Mg 2.12, 3 Li 2.23-2.26
O  0.0770  0.4099  0.2336  1 I 2.13, 2 Mg 2.13, 3 Li 2.19-2.23
Mg  0.6664  0.3336  0.0000  6 O 2.12-2.13
O  0.7442  0.7442  0.2319  1 I 2.12, 2 Mg 2.12, 3 Li 2.23-2.26
Li  0.8277  0.1723  0.5000  6 O 2.19-2.26
Li  0.1723  0.8277  0.5000  6 O 2.19-2.26
Li  0.5000  0.5000  0.5000  6 O 2.23
O  0.9230  0.5901  0.7664  1 I 2.13, 2 Mg 2.13, 3 Li 2.19-2.23

Output
The calculation puts the electronic total energy at -61.109 eV per cell. Its space group is C2/m (12). The magnetic moment comes out at 0.0 μB/f.u. The formation energy from raw total energies is -1.740 eV/atom. For the density, the calculation gives 3.93 g/cm³.